[1]
VASP calculation (PBE) on a relaxed Cu2ReRu crystal.

Properties
Volume = 54 Å³/cell
Calculated density = 12.77 g/cm3
Total DFT energy (no corrections) = -28.54 eV/cell
DOS at the Fermi energy = 5.35 states/eV per cell
Calculated formation energy = 343 meV/atom

The structure in extended XYZ format:
```
4
Lattice="-0.3791 -4.1376 -0.8448 2.1959 -1.7218 -3.1923 3.2192 -2.6348 0.8198" Properties=species:S:1:pos:R:3 pbc="T T T"
Cu 1.2590 -2.1235 -0.8043
Cu 0.0000 0.0000 0.0000
Ru 3.7769 -6.3706 -2.4129
Re 2.5180 -4.2471 -1.6086
```


[2]
VASP calculation (PBE) on a relaxed SbPdS6 crystal.

Properties
Volume = 208 Å³/cell
E_form (uncorrected) = -0.0350 eV/atom
Calculated density = 3.36 g/cm3
Total DFT energy (no corrections) = -34.36 eV/cell
DOS at the Fermi energy = 2.44 states/eV per cell

The structure in extended XYZ format:
```
8
Lattice="10.4684 0.4497 1.9279 5.4547 5.5772 1.7438 0.4820 -0.0392 3.7978" Properties=species:S:1:pos:R:3 pbc="T T T"
S 11.7092 3.0075 5.6985
Pd 8.2026 2.9938 3.7347
S 6.0400 2.1280 4.0004
Sb 0.0000 0.0000 0.0000
S 7.5318 5.2221 3.4302
S 4.6959 2.9802 1.7709
S 10.3651 3.8596 3.4691
S 8.8733 0.7656 4.0392
```


[3]
VASP calculation (PBE) on a relaxed Cs2PbI6Cl crystal.

Properties
Volume = 499 Å³/cell
E_form (uncorrected) = -0.7164 eV/atom
Calculated density = 4.23 g/cm3
Total DFT energy (no corrections) = -23.73 eV/cell
DOS at the Fermi energy = 16.72 states/eV per cell

The structure in extended XYZ format:
```
10
Lattice="9.2788 0.0000 0.0000 0.0000 9.2788 0.0000 4.6394 4.6394 5.7939" Properties=species:S:1:pos:R:3 pbc="T T T"
I 9.2788 9.2788 3.1182
Cs 4.6394 9.2788 2.8970
I 4.6394 4.6394 2.6757
I 2.1566 7.1222 0.0000
Cl 4.6394 4.6394 0.0000
I 2.1566 2.1566 0.0000
I 7.1222 2.1566 0.0000
I 7.1222 7.1222 0.0000
Cs 9.2788 4.6394 2.8970
Pb 0.0000 0.0000 0.0000
```


[4]
VASP calculation (PBE) on a relaxed Pm3SiGe4 crystal.

Properties
Volume = 197 Å³/cell
E_form (uncorrected) = -0.5257 eV/atom
Calculated density = 6.35 g/cm3
Total DFT energy (no corrections) = -42.35 eV/cell
DOS at the Fermi energy = 2.59 states/eV per cell

The structure in extended XYZ format:
```
8
Lattice="4.4011 0.0000 0.0000 0.0000 6.2139 0.0000 -2.2006 -3.1069 7.2088" Properties=species:S:1:pos:R:3 pbc="T T T"
Ge 2.2006 1.8369 1.7841
Pm 0.0000 3.1069 0.0000
Ge 0.0000 -1.2701 5.4248
Si 2.2006 0.0000 0.0000
Ge 2.2006 4.3770 1.7841
Ge 0.0000 1.2701 5.4248
Pm 2.2006 3.1069 4.6103
Pm 0.0000 0.0000 2.5985
```


[5]
VASP calculation (PBE) on a relaxed Cr3P crystal.

Properties
Volume = 46 Å³/cell
Calculated density = 6.80 g/cm3
Total DFT energy (no corrections) = -34.79 eV/cell
DOS at the Fermi energy = 3.30 states/eV per cell
Calculated formation energy = -128 meV/atom

The structure in extended XYZ format:
```
4
Lattice="-0.8932 -1.6065 -4.2718 -4.1597 -1.9242 -0.7884 1.6545 3.9052 1.9077" Properties=species:S:1:pos:R:3 pbc="T T T"
Cr -0.8825 0.2666 -2.4471
Cr -2.5158 0.1078 -0.7054
Cr -2.5264 -1.7654 -2.5301
P 0.0000 0.0000 0.0000
```


[6]
VASP calculation (PBE) on a relaxed ZnGaF crystal.

Properties
Volume = 103 Å³/cell
E_form (uncorrected) = -0.9486 eV/atom
Calculated density = 4.97 g/cm3
Total DFT energy (no corrections) = -18.04 eV/cell
DOS at the Fermi energy = 1.57 states/eV per cell

The structure in extended XYZ format:
```
6
Lattice="2.9527 0.0000 0.0000 -1.4763 2.5567 0.0000 0.0000 0.0000 13.6375" Properties=species:S:1:pos:R:3 pbc="T T T"
F 1.4763 0.8665 8.0435
Zn 0.0000 1.7175 6.8187
Ga 0.0000 1.1217 2.3306
Zn 1.4763 0.2713 0.0000
Ga 0.0000 1.1217 11.3069
F 1.4763 0.8665 5.5940
```


[7]
VASP calculation (PBE) on a relaxed CeHoHgRu crystal.

Properties
Volume = 92 Å³/cell
Calculated density = 10.89 g/cm3
Total DFT energy (no corrections) = -21.20 eV/cell
DOS at the Fermi energy = 5.46 states/eV per cell
Calculated formation energy = -278 meV/atom

The structure in extended XYZ format:
```
4
Lattice="-1.4426 -4.8451 0.4587 3.4919 -3.6772 0.2270 0.7921 -2.4824 4.3562" Properties=species:S:1:pos:R:3 pbc="T T T"
Ru 2.1311 -8.2536 3.7814
Hg 0.7104 -2.7512 1.2605
Ho 1.4207 -5.5024 2.5209
Ce 0.0000 0.0000 0.0000
```


[8]
VASP calculation (PBE) on a relaxed Zn2SiW crystal.

Properties
Volume = 61 Å³/cell
E_form (uncorrected) = 0.3618 eV/atom
Calculated density = 9.29 g/cm3
Total DFT energy (no corrections) = -19.48 eV/cell
DOS at the Fermi energy = 3.04 states/eV per cell

The structure in extended XYZ format:
```
4
Lattice="-2.6186 4.6295 -7.0709 -5.1151 4.4211 -5.7076 -3.2861 6.5000 -5.0239" Properties=species:S:1:pos:R:3 pbc="T T T"
Zn -5.5228 7.7934 -8.9220
Zn -11.0070 15.5324 -17.7817
W -8.2649 11.6629 -13.3518
Si -2.7550 3.8876 -4.4506
```


[9]
VASP calculation (PBE) on a relaxed Li2Cd8Rh crystal.

Properties
Volume = 216 Å³/cell
Calculated density = 7.83 g/cm3
Total DFT energy (no corrections) = -20.08 eV/cell
DOS at the Fermi energy = 3.37 states/eV per cell
Calculated formation energy = -143 meV/atom

The structure in extended XYZ format:
```
11
Lattice="4.5775 0.0000 0.0000 0.0000 7.2436 -0.2507 -2.2887 -3.3581 6.6160" Properties=species:S:1:pos:R:3 pbc="T T T"
Cd 2.2887 3.7625 4.3979
Li 0.0000 3.6653 2.5717
Cd 0.0000 5.0692 -0.1177
Cd 2.2887 5.2467 1.7501
Cd 2.2887 2.2119 1.7385
Rh 2.2887 0.0000 0.0000
Li 2.2887 0.2202 3.7936
Cd 2.2887 -1.1837 6.4830
Cd 0.0000 1.6737 4.6268
Cd 0.0000 0.1231 1.9674
Cd 0.0000 -1.3611 4.6153
```


[10]
VASP calculation (PBE) on a relaxed ZrB2Rh8 crystal.

Properties
Volume = 150 Å³/cell
Calculated density = 10.36 g/cm3
Total DFT energy (no corrections) = -83.63 eV/cell
DOS at the Fermi energy = 10.60 states/eV per cell
Calculated formation energy = -265 meV/atom

The structure in extended XYZ format:
```
11
Lattice="-0.3341 1.4518 3.8854 0.7276 -6.0819 1.3315 5.6197 2.3901 -1.4135" Properties=species:S:1:pos:R:3 pbc="T T T"
B 4.0466 -0.3341 -0.5308
B 2.3007 -3.3576 0.4488
Rh 4.1514 0.8626 1.2593
Rh 3.8081 -1.8389 1.1112
Rh 5.4864 -0.5192 3.1084
Rh 2.2051 -0.4010 2.6922
Rh 4.1683 -2.8019 3.8480
Zr -0.1670 0.7259 1.9427
Rh 1.8618 -3.1025 2.5440
Rh 1.8449 0.5620 -0.0447
Rh 0.5267 -1.7208 0.6950
```


[11]
VASP calculation (PBE) on a relaxed MgCo5P3 crystal.

Properties
Volume = 228 Å³/cell
Calculated density = 6.01 g/cm3
Total DFT energy (no corrections) = -115.11 eV/cell
DOS at the Fermi energy = 15.82 states/eV per cell
Calculated formation energy = -467 meV/atom

The structure in extended XYZ format:
```
18
Lattice="3.4862 0.0000 0.0000 -1.7431 5.7338 0.0000 0.0000 0.0000 11.3860" Properties=species:S:1:pos:R:3 pbc="T T T"
Co 0.0000 2.2789 10.5614
Co 0.0000 5.1877 4.0481
P 0.0000 4.3688 10.9405
P 1.7431 4.4383 2.8465
Mg 0.0000 1.5215 2.8465
P 0.0000 1.2955 8.5395
Co 0.0000 2.2789 6.5176
Co 1.7431 0.5461 9.7411
Co 1.7431 3.4549 0.8246
P 1.7431 1.3650 0.4455
Co 0.0000 5.1877 1.6450
P 1.7431 1.3650 5.2475
Co 1.7431 3.4549 4.8684
Mg 1.7431 4.2123 8.5395
Co 0.0000 0.0000 5.6930
Co 1.7431 0.5461 7.3380
Co 0.0000 0.0000 0.0000
P 0.0000 4.3688 6.1385
```


[12]
VASP calculation (PBE) on a relaxed CaZrIn2 crystal.

Properties
Volume = 104 Å³/cell
Calculated density = 5.74 g/cm3
Total DFT energy (no corrections) = -16.51 eV/cell
DOS at the Fermi energy = 3.16 states/eV per cell
Calculated formation energy = -122 meV/atom

The structure in extended XYZ format:
```
4
Lattice="3.2861 0.0000 0.0000 0.0000 6.4605 -0.0110 0.0000 3.8588 4.9137" Properties=species:S:1:pos:R:3 pbc="T T T"
Zr 1.6430 5.1597 2.4513
In 0.0000 0.0000 0.0000
Ca 0.0000 1.9294 2.4568
In 1.6430 3.2303 -0.0055
```


[13]
VASP calculation (PBE) on a relaxed BaCdTc3 crystal.

Properties
Volume = 138 Å³/cell
Calculated density = 6.54 g/cm3
Total DFT energy (no corrections) = -24.30 eV/cell
DOS at the Fermi energy = 4.13 states/eV per cell
Calculated formation energy = 1927 meV/atom

The structure in extended XYZ format:
```
5
Lattice="-4.2220 -1.5424 -2.5490 0.7017 -4.8115 1.7492 -2.8956 1.0830 4.1406" Properties=species:S:1:pos:R:3 pbc="T T T"
Tc -1.4478 0.5415 2.0703
Cd 0.0000 0.0000 0.0000
Ba -3.2079 -2.6354 1.6704
Tc 0.3509 -2.4057 0.8746
Tc -2.1110 -0.7712 -1.2745
```


[14]
VASP calculation (PBE) on a relaxed Gd3Cu5H12 crystal.

Properties
Volume = 790 Å³/cell
Calculated density = 6.74 g/cm3
Total DFT energy (no corrections) = -428.60 eV/cell
DOS at the Fermi energy = 9.06 states/eV per cell

The structure in extended XYZ format:
```
80
Lattice="-1.7507 6.6932 7.3430 -3.2529 -9.0996 2.8983 9.9027 -0.4117 -1.8842" Properties=species:S:1:pos:R:3 pbc="T T T"
Gd -1.2950 1.5561 6.3586
H -1.3277 -0.6955 6.4947
H 4.8978 -5.7752 0.6091
Cu -2.5018 -1.2032 5.1207
Cu 4.5317 -1.9963 1.7450
Cu 0.0000 0.0000 0.0000
H 2.5115 -5.2037 5.9490
Gd -0.2139 -3.2802 4.0940
Cu 0.3674 -0.8217 6.6121
H 6.7637 -3.8675 -0.2359
Cu -0.8754 3.3466 3.6715
H 3.8298 -1.0333 2.9629
H 6.9883 0.2055 3.0357
H 4.8110 1.4755 2.2703
Cu 3.8441 3.3244 5.9721
Cu 4.0760 3.1408 2.7294
H 2.3876 2.3857 2.4082
H 1.2506 -1.1746 0.7619
Gd 2.0299 -3.1995 6.8657
H 4.1880 4.9887 5.8501
H -1.4499 -2.9836 8.1022
Cu 6.3639 1.0638 1.7028
H -4.1775 -2.7383 8.5886
H 0.7111 -7.8068 2.5070
Gd 5.1130 0.4622 4.2631
H 9.0766 -0.0797 -0.2315
H 1.4513 -0.0677 3.3249
H 6.6393 2.0746 5.0658
Gd 3.0930 -4.5720 3.7497
H 6.2268 -2.1225 1.8625
H 6.3167 -6.4346 2.9088
H 3.9996 -1.1943 0.3389
H -1.9930 -7.7317 3.1542
H 0.8447 3.8730 4.2087
H 2.2420 2.9881 6.4449
Cu 2.4495 -1.4090 4.1786
H 6.3490 0.1656 0.2549
H 2.6571 -5.8061 1.9123
H 0.0012 2.9572 7.7480
Gd 2.8692 0.3815 1.4915
H 3.9334 2.4950 4.4863
Gd 4.3619 -7.4342 2.0407
Gd 1.8061 1.7540 4.6074
H 3.1636 -0.0599 5.2713
H 0.9657 -5.3131 3.8708
H -1.7402 -4.8926 3.2913
H -1.8646 1.0495 8.5930
Cu 1.0550 -6.1424 2.3850
Cu 1.0370 -2.6786 1.5337
Gd 7.6328 -1.7985 -0.0062
Cu 3.3249 -4.7556 0.5071
H 5.4891 0.2276 6.4751
Cu -0.2319 0.1836 3.2427
H 1.7355 -2.7581 3.0858
H -1.4176 3.6166 5.4483
Cu -1.6265 -4.5498 1.4492
H 4.0705 -3.6351 1.8157
H 4.0544 -6.6911 4.1485
Cu 4.9514 -0.2058 -0.9421
Cu 3.8621 -0.1394 6.8234
H 0.0881 -4.2935 6.0868
H 5.3015 -4.4186 4.1837
Gd -2.7337 -1.0196 8.3633
Cu 6.9452 3.5222 4.2209
H 1.0693 -1.7847 5.3943
H 0.8995 -1.6237 8.0182
Gd 0.5372 4.6162 6.3164
H 6.0495 -1.6876 4.5374
H 6.8920 4.9137 5.2029
H 0.8286 0.8171 6.5414
H 3.4478 -2.7503 5.0322
H -0.4024 1.6006 4.1734
H -1.1504 -1.1304 3.8197
Gd 6.1941 -4.3741 1.9985
Cu 5.1310 -3.0016 5.1144
H -2.0892 -3.0235 5.3214
Cu -2.0462 -6.3403 4.1363
Cu -1.4648 -3.8818 6.6544
H 3.6485 -1.6434 7.5952
H -0.5900 -3.0456 1.8821
```


[15]
VASP calculation (PBE) on a relaxed NaSeClF2 crystal.

Properties
Volume = 104 Å³/cell
E_form (uncorrected) = -1.1733 eV/atom
Calculated density = 2.80 g/cm3
Total DFT energy (no corrections) = -16.26 eV/cell
DOS at the Fermi energy = 1.57 states/eV per cell

The structure in extended XYZ format:
```
5
Lattice="-0.0364 -0.7775 4.2553 0.7902 -5.4224 -0.9840 4.2820 0.5975 0.1458" Properties=species:S:1:pos:R:3 pbc="T T T"
Cl 0.3951 -2.7112 -0.4920
Na 2.5179 -2.8012 1.7086
Se 0.0000 0.0000 0.0000
F 2.1410 0.2988 0.0729
F -0.0182 -0.3888 2.1277
```


[16]
VASP calculation (PBE) on a relaxed In2SnI crystal.

Properties
Volume = 125 Å³/cell
E_form (uncorrected) = -0.0293 eV/atom
Calculated density = 6.31 g/cm3
Total DFT energy (no corrections) = -11.15 eV/cell
DOS at the Fermi energy = 2.69 states/eV per cell

The structure in extended XYZ format:
```
4
Lattice="-0.2453 -1.2967 3.4572 5.2433 -2.4532 -0.5482 2.4840 4.8622 2.0000" Properties=species:S:1:pos:R:3 pbc="T T T"
I -0.1226 -0.6484 1.7286
Sn 3.7410 0.5561 2.4545
In 1.2420 2.4311 1.0000
In 2.6217 -1.2266 -0.2741
```


[17]
VASP calculation (PBE) on a relaxed Pm5Nd12Y2 crystal.

Properties
Volume = 670 Å³/cell
Calculated density = 6.53 g/cm3
Total DFT energy (no corrections) = -90.74 eV/cell
DOS at the Fermi energy = 32.66 states/eV per cell
Calculated formation energy = 166 meV/atom

The structure in extended XYZ format:
```
19
Lattice="7.1523 0.0000 0.0000 -3.5761 8.6184 3.5696 0.0000 -0.3082 10.7425" Properties=species:S:1:pos:R:3 pbc="T T T"
Nd 1.7675 5.5763 8.0560
Nd -1.7675 5.5763 8.0560
Y 5.2258 0.0000 0.0000
Pm 0.0000 2.9684 10.0876
Nd 3.5761 8.0506 6.0692
Pm 3.5761 2.7616 9.7292
Nd 0.0000 8.4054 10.8180
Nd 5.3912 2.7193 2.5269
Nd 0.0000 0.2596 8.2428
Nd 1.8151 5.5909 11.7852
Nd 3.5761 -0.0952 3.4941
Nd 1.8086 2.7339 6.2561
Pm 3.5761 5.3418 4.2244
Nd 5.3437 2.7339 6.2561
Y 1.9265 0.0000 0.0000
Pm 0.0000 -0.1541 5.3712
Nd 1.7610 2.7193 2.5269
Pm 0.0000 5.5486 4.5828
Nd -1.8151 5.5909 11.7852
```


[18]
VASP calculation (PBE) on a relaxed Tb5Tm3Sc2 crystal.

Properties
Volume = 618 Å³/cell
Calculated density = 7.47 g/cm3
Total DFT energy (no corrections) = -94.46 eV/cell
DOS at the Fermi energy = 35.02 states/eV per cell
Calculated formation energy = 200 meV/atom

The structure in extended XYZ format:
```
20
Lattice="8.2209 1.5577 -3.8348 0.1595 8.3597 -3.8755 -1.6527 -1.9079 10.5285" Properties=species:S:1:pos:R:3 pbc="T T T"
Tb 3.4831 2.1043 2.7986
Tb 5.8893 5.0101 2.0074
Tb 4.8342 7.8263 -2.9116
Tb 3.2445 5.9052 0.0195
Tm 0.4732 6.7358 5.4583
Sc 2.7191 5.3807 3.1661
Tb 4.4830 3.3113 5.4246
Tm 1.0483 3.3952 4.7717
Tb 0.8384 2.9993 0.8108
Tm 6.8384 1.9239 3.2409
Tm 6.2545 1.2738 -2.6402
Sc 5.1322 -0.1045 4.7538
Tb 1.8934 0.1831 5.7298
Tm -0.1107 6.0855 -0.4227
Tb 2.2446 4.6978 -2.6062
Tm 5.6794 4.6143 -1.9534
Tb 7.2765 2.5038 0.0426
Sc 4.0086 2.6287 -0.3480
Sc 1.5955 8.1139 -1.9356
Tb -0.5488 5.5056 2.7756
```


Result set for total moment: 0.00 0.00 0.00 0.00 0.82 0.00 0.31 0.00 0.00 0.00 0.15 0.00 8.77 21.19 0.00 0.00 0.00 0.00 μB/f.u., one per record in the order listed.